DFT (PBE) results for a relaxed Dy3InPdPt2Pb2 crystal.

abc: 3.8494 7.8199 7.8199
angles: 120.64 90.00 90.00
Fractional coordinates of all 9 atoms:
Pb: 0.0000 0.0024 0.7387
Pd: 0.5000 0.0047 0.0047
Pt: 0.0000 0.3317 0.6577
Pt: 0.0000 0.6577 0.3317
In: 0.0000 0.2614 0.2614
Dy: 0.5000 0.4086 0.0071
Pb: 0.0000 0.7387 0.0024
Dy: 0.5000 0.0071 0.4086
Dy: 0.5000 0.5876 0.5876

- Magnetic moment: 0.01 μB per formula unit
- Space-group type: No. 38
- Total DFT energy (no corrections): -49.14 eV/cell

DFT (PBE) results for a relaxed SrCo2S3 crystal.

abc: 3.7198 6.7179 8.8069
angles: 90.00 90.00 73.93
Fractional coordinates of all 12 atoms:
S: 0.3739 0.2521 0.5480
S: 0.6261 0.7479 0.0480
Co: 0.0000 0.0000 0.5000
S: 0.9337 0.1327 0.2500
Co: 0.4760 0.0481 0.7500
Co: 0.0000 0.0000 0.0000
S: 0.3739 0.2521 0.9520
S: 0.6261 0.7479 0.4520
Co: 0.5240 0.9519 0.2500
Sr: 0.2473 0.5055 0.2500
Sr: 0.7527 0.4945 0.7500
S: 0.0663 0.8673 0.7500

- Magnetic moment: 4.02 μB per formula unit
- Space-group type: No. 63
- Total DFT energy (no corrections): -65.41 eV/cell

DFT (PBE) results for a relaxed Lu4Sc2Sb3C3 crystal.

abc: 6.1008 6.1008 15.0634
angles: 101.70 101.70 60.01
Fractional coordinates of all 24 atoms:
Sc: 0.4730 0.6403 0.4197
Sb: 0.1023 0.8977 0.2500
Lu: 0.9700 0.8047 0.9124
C: 0.1737 0.6631 0.5000
Sb: 0.7298 0.5828 0.2499
C: 0.5000 0.0000 0.5000
Lu: 0.0300 0.1953 0.0876
Sc: 0.3597 0.5270 0.0803
C: 0.0000 0.5000 0.0000
Sc: 0.5270 0.3597 0.5803
Lu: 0.8630 0.6961 0.5876
C: 0.6631 0.1737 0.0000
Sb: 0.5828 0.7298 0.7499
Lu: 0.1370 0.3039 0.4124
C: 0.8263 0.3369 0.5000
Lu: 0.1953 0.0300 0.5876
Sb: 0.4172 0.2702 0.2501
Sb: 0.2702 0.4172 0.7501
Lu: 0.8047 0.9700 0.4124
Lu: 0.3039 0.1370 0.9124
Sb: 0.8977 0.1023 0.7500
C: 0.3369 0.8263 0.0000
Lu: 0.6961 0.8630 0.0876
Sc: 0.6403 0.4730 0.9197

- Magnetic moment: 0.00 μB per formula unit
- Space-group type: No. 15
- Total DFT energy (no corrections): -158.75 eV/cell

DFT (PBE) results for a relaxed SrNb2Au crystal.

abc: 4.9285 4.9285 4.9285
angles: 60.00 60.00 60.00
Fractional coordinates of all 4 atoms:
Sr: 0.7500 0.7500 0.7500
Au: 0.5000 0.5000 0.5000
Nb: 0.0000 0.0000 0.0000
Nb: 0.2500 0.2500 0.2500

- Magnetic moment: 0.03 μB per formula unit
- Space-group type: No. 216
- Total DFT energy (no corrections): -23.01 eV/cell

DFT (PBE) results for a relaxed MgNiGeAu crystal.

abc: 4.4644 4.4644 4.4644
angles: 60.00 60.00 60.00
Fractional coordinates of all 4 atoms:
Au: 0.5000 0.5000 0.5000
Ge: 0.0000 0.0000 0.0000
Mg: 0.2500 0.2500 0.2500
Ni: 0.7500 0.7500 0.7500

- Magnetic moment: 0.01 μB per formula unit
- Space-group type: No. 216
- Total DFT energy (no corrections): -15.61 eV/cell

DFT (PBE) results for a relaxed NaNdP4O12 crystal.

abc: 9.7983 13.0139 7.1502
angles: 90.00 90.69 90.00
Fractional coordinates of all 72 atoms:
O: 0.2920 0.8344 0.5870
O: 0.3410 0.3699 0.3140
P: 0.8085 0.6289 0.6469
O: 0.8410 0.1301 0.8140
P: 0.2350 0.1151 0.6193
P: 0.7433 0.6002 0.2463
O: 0.1023 0.2851 0.2851
P: 0.6940 0.9110 0.7722
O: 0.8354 0.6258 0.4262
P: 0.8060 0.4110 0.7278
Nd: 0.0238 0.2146 0.9859
O: 0.9028 0.8572 0.3087
O: 0.0928 0.8970 0.7842
O: 0.2149 0.1062 0.0612
O: 0.7961 0.4855 0.2142
O: 0.2093 0.0793 0.4067
O: 0.0795 0.6632 0.2398
O: 0.8977 0.7149 0.7149
P: 0.1915 0.3711 0.3531
P: 0.6915 0.1289 0.8531
O: 0.3977 0.7851 0.2149
O: 0.8459 0.3069 0.1348
P: 0.2650 0.6151 0.8807
O: 0.1590 0.8699 0.1860
O: 0.1243 0.4768 0.2812
Na: 0.9344 0.2210 0.4992
O: 0.1646 0.3742 0.5738
O: 0.2039 0.5145 0.7858
P: 0.3060 0.0890 0.2278
O: 0.4072 0.3970 0.7158
O: 0.7907 0.9207 0.5933
O: 0.7920 0.6656 0.0870
P: 0.7567 0.1002 0.2537
O: 0.2080 0.3344 0.9130
O: 0.9205 0.3368 0.7602
O: 0.2961 0.0145 0.7142
O: 0.0972 0.1428 0.6914
O: 0.7080 0.1656 0.4130
Na: 0.4344 0.2790 0.9992
Nd: 0.4762 0.7146 0.5141
P: 0.7350 0.3849 0.1193
P: 0.2567 0.3998 0.7537
O: 0.7149 0.3938 0.5612
P: 0.1940 0.5890 0.2722
O: 0.3459 0.1931 0.6348
Na: 0.5656 0.7211 0.0008
Nd: 0.9762 0.7854 0.0141
O: 0.6646 0.1258 0.0738
O: 0.3757 0.9768 0.2188
O: 0.6590 0.6301 0.6860
P: 0.7650 0.8849 0.3807
O: 0.5928 0.6030 0.2842
O: 0.6023 0.2149 0.7851
O: 0.4205 0.1632 0.2602
P: 0.2433 0.8998 0.7463
O: 0.2907 0.5793 0.0933
Na: 0.0656 0.7790 0.5008
O: 0.6541 0.8069 0.3652
O: 0.5795 0.8368 0.7398
O: 0.2851 0.6062 0.4388
O: 0.7093 0.4207 0.9067
O: 0.9072 0.1030 0.2158
O: 0.8757 0.5232 0.7188
O: 0.7039 0.9855 0.2858
O: 0.6243 0.0232 0.7812
O: 0.1541 0.6931 0.8652
O: 0.3354 0.8742 0.9262
O: 0.5972 0.3572 0.1914
O: 0.7851 0.8938 0.9388
Nd: 0.5238 0.2854 0.4859
P: 0.3085 0.8711 0.1469
O: 0.4028 0.6428 0.8087

- Magnetic moment: 0.00 μB per formula unit
- Space-group type: No. 14
- Total DFT energy (no corrections): -523.38 eV/cell

DFT (PBE) results for a relaxed Sc3Ga3Pd2Pt crystal.

abc: 7.3288 7.3288 3.3970
angles: 90.00 90.00 120.00
Fractional coordinates of all 9 atoms:
Pd: 0.3333 0.6667 0.5000
Sc: 0.3914 0.3914 0.0000
Pd: 0.6667 0.3333 0.5000
Ga: 0.0000 0.2753 0.5000
Sc: 0.6086 0.0000 0.0000
Pt: 0.0000 0.0000 0.0000
Ga: 0.2753 0.0000 0.5000
Sc: 0.0000 0.6086 0.0000
Ga: 0.7247 0.7247 0.5000

- Magnetic moment: 0.00 μB per formula unit
- Space-group type: No. 189
- Total DFT energy (no corrections): -52.72 eV/cell

DFT (PBE) results for a relaxed PmNp crystal.

abc: 4.4846 4.4846 4.4846
angles: 60.00 60.00 60.00
Fractional coordinates of all 2 atoms:
Np: 0.0000 0.0000 0.0000
Pm: 0.5000 0.5000 0.5000

- Formation energy: 1.202 eV per atom
- Relative energy among the computed polymorphs: 682 meV/atom
- Magnetic moment: 5.53 μB per formula unit
- Space-group type: No. 225
- Total DFT energy (no corrections): -15.11 eV/cell

DFT (PBE) results for a relaxed Gd4PCl5 crystal.

abc: 8.9168 8.9168 8.0708
angles: 102.56 102.56 25.37
Fractional coordinates of all 10 atoms:
Gd: 0.9994 0.9994 0.2258
P: 0.5000 0.5000 0.0000
Cl: 0.1725 0.1725 0.8425
Cl: 0.5000 0.5000 0.5000
Cl: 0.8275 0.8275 0.1575
Gd: 0.6537 0.6537 0.0826
Gd: 0.3463 0.3463 0.9174
Gd: 0.0006 0.0006 0.7742
Cl: 0.1650 0.1650 0.3270
Cl: 0.8350 0.8350 0.6730

- Magnetic moment: 0.00 μB per formula unit
- Space-group type: No. 12
- Total DFT energy (no corrections): -52.07 eV/cell

DFT (PBE) results for a relaxed La2AgIr crystal.

abc: 7.3613 5.0609 10.7346
angles: 90.00 90.00 90.00
Fractional coordinates of all 16 atoms:
La: 0.0065 0.7500 0.6279
La: 0.4935 0.7500 0.1279
La: 0.0060 0.7500 0.1273
La: 0.9940 0.2500 0.8727
Ir: 0.7496 0.7500 0.8944
Ag: 0.7491 0.2500 0.1159
Ir: 0.2504 0.2500 0.1056
Ag: 0.2491 0.7500 0.3841
Ag: 0.7509 0.2500 0.6159
Ir: 0.7504 0.7500 0.3944
La: 0.5060 0.2500 0.3727
La: 0.4940 0.7500 0.6273
Ir: 0.2496 0.2500 0.6056
Ag: 0.2509 0.7500 0.8841
La: 0.9935 0.2500 0.3721
La: 0.5065 0.2500 0.8721

- Formation energy: -0.472 eV per atom
- Relative energy among the computed polymorphs: 70 meV/atom
- Magnetic moment: 0.00 μB per formula unit
- Space-group type: No. 62
- Total DFT energy (no corrections): -93.65 eV/cell

DFT (PBE) results for a relaxed LuNbCd crystal.

abc: 4.8140 4.8140 4.8140
angles: 60.00 60.00 60.00
Fractional coordinates of all 3 atoms:
Nb: 0.0000 0.0000 0.0000
Lu: 0.7500 0.7500 0.7500
Cd: 0.2500 0.2500 0.2500

- Formation energy: 0.868 eV per atom
- Relative energy among the computed polymorphs: 0 meV/atom
- Magnetic moment: 2.27 μB per formula unit
- Space-group type: No. 216
- Total DFT energy (no corrections): -12.91 eV/cell

DFT (PBE) results for a relaxed Ba2LiAs2Au crystal.

abc: 4.6138 4.6138 9.0935
angles: 90.00 90.00 120.00
Fractional coordinates of all 6 atoms:
Ba: 0.3333 0.6667 0.2513
As: 0.6667 0.3333 0.0000
Ba: 0.3333 0.6667 0.7487
Li: 0.6667 0.3333 0.5000
Au: 0.0000 0.0000 0.0000
As: 0.0000 0.0000 0.5000

- Space-group type: No. 187
- Total DFT energy (no corrections): -24.06 eV/cell

DFT (PBE) results for a relaxed Cs2HfTlCl6 crystal.

abc: 7.8829 7.8829 7.8829
angles: 60.00 60.00 60.00
Fractional coordinates of all 10 atoms:
Cs: 0.2500 0.2500 0.2500
Tl: 0.5000 0.5000 0.5000
Cl: 0.2249 0.2249 0.7751
Cl: 0.2249 0.7751 0.7751
Cl: 0.7751 0.7751 0.2249
Cl: 0.2249 0.7751 0.2249
Cs: 0.7500 0.7500 0.7500
Cl: 0.7751 0.2249 0.7751
Cl: 0.7751 0.2249 0.2249
Hf: 0.0000 0.0000 0.0000

- Magnetic moment: 1.00 μB per formula unit
- Space-group type: No. 225
- Total DFT energy (no corrections): -41.72 eV/cell

DFT (PBE) results for a relaxed FeTcAsPt crystal.

abc: 4.3404 4.3404 4.3404
angles: 60.00 60.00 60.00
Fractional coordinates of all 4 atoms:
As: 0.0000 0.0000 0.0000
Pt: 0.5000 0.5000 0.5000
Fe: 0.7500 0.7500 0.7500
Tc: 0.2500 0.2500 0.2500

- Relative energy among the computed polymorphs: 0 meV/atom
- Magnetic moment: 2.42 μB per formula unit
- Space-group type: No. 216
- Total DFT energy (no corrections): -29.08 eV/cell

DFT (PBE) results for a relaxed ZrB4Ir crystal.

abc: 5.9195 11.4799 3.4542
angles: 90.00 90.00 90.00
Fractional coordinates of all 24 atoms:
B: 0.0313 0.3068 0.5000
B: 0.8026 0.8127 0.5000
B: 0.1300 0.0320 0.5000
B: 0.8700 0.9680 0.5000
B: 0.6300 0.4680 0.5000
Zr: 0.1285 0.8531 0.0000
Ir: 0.8599 0.4008 0.0000
B: 0.6170 0.0474 0.5000
Zr: 0.3715 0.3531 0.0000
Zr: 0.6285 0.6469 0.0000
B: 0.5313 0.1932 0.5000
B: 0.6974 0.3127 0.5000
B: 0.1170 0.4526 0.5000
B: 0.9687 0.6932 0.5000
Ir: 0.3599 0.0992 0.0000
B: 0.1974 0.1873 0.5000
Ir: 0.1401 0.5992 0.0000
B: 0.3700 0.5320 0.5000
B: 0.3830 0.9526 0.5000
B: 0.4687 0.8068 0.5000
Ir: 0.6401 0.9008 0.0000
B: 0.3026 0.6873 0.5000
B: 0.8830 0.5474 0.5000
Zr: 0.8715 0.1469 0.0000

- Relative energy among the computed polymorphs: 0 meV/atom
- Magnetic moment: 0.00 μB per formula unit
- Space-group type: No. 55
- Total DFT energy (no corrections): -188.52 eV/cell

DFT (PBE) results for a relaxed Pa4TeS6 crystal.

abc: 8.3979 8.3979 3.8923
angles: 90.00 90.00 120.00
Fractional coordinates of all 11 atoms:
Pa: 0.8164 0.6329 0.5000
S: 0.1966 0.3932 0.5000
Te: 0.0000 0.0000 0.0000
Pa: 0.8164 0.1836 0.5000
S: 0.5407 0.0813 0.0000
Pa: 0.3333 0.6667 0.0000
Pa: 0.3671 0.1836 0.5000
S: 0.5407 0.4593 0.0000
S: 0.6068 0.8034 0.5000
S: 0.1966 0.8034 0.5000
S: 0.9187 0.4593 0.0000

- Magnetic moment: 2.34 μB per formula unit
- Space-group type: No. 187
- Total DFT energy (no corrections): -82.99 eV/cell

DFT (PBE) results for a relaxed CuH14C4S2N2Cl4 crystal.

abc: 12.3645 7.1405 19.0172
angles: 90.00 100.69 90.00
Fractional coordinates of all 54 atoms:
Cl: 0.4136 0.9659 0.0639
H: 0.1085 0.2773 0.3704
Cu: 0.2629 0.1729 0.4722
Cu: 0.7371 0.1729 0.5278
H: 0.4439 0.4973 0.3240
H: 0.5561 0.4973 0.6760
C: 0.1564 0.5798 0.7933
Cl: 0.4815 0.0501 0.3245
Cl: 0.0332 0.2030 0.3202
H: 0.3591 0.0708 0.1003
H: 0.6622 0.5388 0.1727
C: 0.6861 0.6006 0.8411
S: 0.2688 0.6686 0.9279
Cl: 0.9668 0.2030 0.6798
H: 0.7415 0.7207 0.8568
H: 0.1131 0.4551 0.8094
H: 0.4677 0.2107 0.4936
C: 0.2641 0.5937 0.8435
H: 0.4362 0.8902 0.3086
H: 0.8969 0.6987 0.1978
H: 0.6284 0.6133 0.0439
S: 0.6595 0.4407 0.9013
N: 0.1697 0.5642 0.7187
N: 0.4390 0.5641 0.2760
S: 0.3405 0.4407 0.0987
H: 0.4877 0.6134 0.7353
H: 0.6409 0.0708 0.8997
Cl: 0.5185 0.0501 0.6755
S: 0.7312 0.6686 0.0721
H: 0.1340 0.4432 0.6969
H: 0.3378 0.5388 0.8273
H: 0.8695 0.6714 0.3112
N: 0.5610 0.5641 0.7240
H: 0.8660 0.4432 0.3031
N: 0.8303 0.5642 0.2813
Cl: 0.9543 0.2620 0.9021
H: 0.3716 0.6133 0.9561
C: 0.3492 0.5613 0.2289
C: 0.8436 0.5798 0.2067
H: 0.1252 0.3641 0.1304
H: 0.8915 0.2773 0.6296
C: 0.3139 0.6006 0.1589
Cl: 0.5864 0.9659 0.9361
H: 0.5123 0.6134 0.2647
Cl: 0.0457 0.2620 0.0979
H: 0.2585 0.7207 0.1432
H: 0.8869 0.4551 0.1906
H: 0.5323 0.2107 0.5064
H: 0.8748 0.3641 0.8696
H: 0.1031 0.6987 0.8022
H: 0.5638 0.8902 0.6914
H: 0.1305 0.6714 0.6888
C: 0.6508 0.5613 0.7711
C: 0.7359 0.5937 0.1565

- Space-group type: No. 3
- Total DFT energy (no corrections): -235.87 eV/cell

DFT (PBE) results for a relaxed Sn2HgW crystal.

abc: 4.9825 4.9825 4.9825
angles: 60.00 60.00 60.00
Fractional coordinates of all 4 atoms:
Sn: 0.0000 0.0000 0.0000
Hg: 0.5000 0.5000 0.5000
Sn: 0.2500 0.2500 0.2500
W: 0.7500 0.7500 0.7500

- Magnetic moment: 1.44 μB per formula unit
- Space-group type: No. 216
- Total DFT energy (no corrections): -17.35 eV/cell